The following is a GGA-PBE calculation of a relaxed Tb3Dy4Th2 crystal, from Alexandria via LeMat-Bulk.

Total DFT energy (no corrections), eV per atom: -5.17
ρ, g cm⁻³: 9.1

Unit cell a=3.554 b=3.554 c=26.492 alpha=90.00 beta=90.00 gamma=120.00
Fractional positions:
Th 0.667 0.333 0.869
Dy 0.000 0.000 0.542
Tb 0.667 0.333 0.651
Dy 0.000 0.000 0.760
Th 0.667 0.333 0.092
Tb 0.000 0.000 0.326
Dy 0.667 0.333 0.435
Tb 0.000 0.000 0.981
Dy 0.667 0.333 0.220

---

The following is a GGA-PBE calculation of a relaxed TbDy5Th4 crystal, from Alexandria via LeMat-Bulk.

Total DFT energy (no corrections), eV per atom: -5.62
ρ, g cm⁻³: 9.8

Unit cell a=3.483 b=11.593 c=11.922 alpha=136.66 beta=98.40 gamma=90.00
Fractional positions:
Dy 0.210 0.306 0.420
Dy 0.500 0.500 0.000
Dy 0.193 0.802 0.386
Th 0.402 0.098 0.804
Dy 0.790 0.694 0.580
Tb 0.500 0.000 0.000
Th 0.090 0.387 0.180
Th 0.910 0.613 0.820
Th 0.598 0.902 0.196
Dy 0.807 0.198 0.614

---

The following is a GGA-PBE calculation of a relaxed Tb2DyTh crystal, from Alexandria via LeMat-Bulk.

Total DFT energy (no corrections), eV per atom: -5.28
ρ, g cm⁻³: 9.2

Unit cell a=3.587 b=3.587 c=11.547 alpha=90.00 beta=90.00 gamma=120.00
Fractional positions:
Tb 0.801 0.199 0.752
Dy 0.135 0.865 0.000
Th 0.134 0.866 0.500
Tb 0.801 0.199 0.248

---

The following is a GGA-PBE calculation of a relaxed TbDy6Th4 crystal, from Alexandria via LeMat-Bulk.

Total DFT energy (no corrections), eV per atom: -5.13
ρ, g cm⁻³: 8.6

Unit cell a=7.846 b=7.846 c=8.519 alpha=117.42 beta=117.42 gamma=90.00
Fractional positions:
Dy 0.058 0.058 0.631
Tb 0.500 0.500 0.000
Dy 0.573 0.573 0.631
Dy 0.942 0.427 0.369
Th 0.905 0.905 0.147
Th 0.758 0.095 0.853
Th 0.095 0.758 0.853
Dy 0.500 0.000 0.000
Dy 0.427 0.942 0.369
Th 0.242 0.242 0.147
Dy 0.000 0.500 0.000

---

Q: Which formula does entry 1 have?
A: Tb3Dy4Th2